Computed, not measured: a relaxed Y5Tl2Ga2 crystal at the GGA-PBE level of DFT.

Values from the calculation:
- ΔE_f: -0.485 eV/atom
- E_tot: -5.2747 eV/atom
- Symmetry: Cmce

Cell: 8.9536 8.9536 7.7278 Å, 90.00 90.00 51.87°
With the nearest neighbours (Å) after each atom.
Fractional coordinates of all 18 atoms:
1 Y 0.0000 0.0000 0.0000  4 Ga 3.08-3.13
2 Y 0.0559 0.6858 0.6772  3 Ga 3.03-3.19, 3 Tl 3.14-3.23
3 Y 0.1858 0.5559 0.1772  3 Ga 3.03-3.19, 3 Tl 3.14-3.23
4 Y 0.3142 0.9441 0.6772  3 Ga 3.03-3.19, 3 Tl 3.14-3.23
5 Y 0.4441 0.8142 0.1772  3 Ga 3.03-3.19, 3 Tl 3.14-3.23
6 Y 0.5000 0.5000 0.5000  4 Ga 3.08-3.13
7 Y 0.5559 0.1858 0.8228  3 Ga 3.03-3.19, 3 Tl 3.14-3.23
8 Y 0.6858 0.0559 0.3228  3 Ga 3.03-3.19, 3 Tl 3.14-3.23
9 Y 0.8142 0.4441 0.8228  3 Ga 3.03-3.19, 3 Tl 3.14-3.23
10 Y 0.9441 0.3142 0.3228  3 Ga 3.03-3.19, 3 Tl 3.14-3.23
11 Tl 0.2199 0.2199 0.0000  6 Y 3.14-3.23
12 Tl 0.2801 0.2801 0.5000  6 Y 3.14-3.23
13 Tl 0.7199 0.7199 0.5000  6 Y 3.14-3.23
14 Tl 0.7801 0.7801 0.0000  6 Y 3.14-3.23
15 Ga 0.1181 0.8819 0.3799  1 Ga 2.62
16 Ga 0.3819 0.6181 0.8799  1 Ga 2.62
17 Ga 0.6181 0.3819 0.1201  1 Ga 2.62
18 Ga 0.8819 0.1181 0.6201  1 Ga 2.62

=====

Computed, not measured: a relaxed Y6TlGa2 crystal at the GGA-PBE level of DFT.

Values from the calculation:
- ΔE_f: -0.270 eV/atom
- E_tot: -5.5150 eV/atom
- Symmetry: P2_1/c
- Offset from the most stable computed form: 167 meV per atom

Cell: 6.4860 8.2898 11.0018 Å, 90.00 119.64 90.00°
With the nearest neighbours (Å) after each atom.
Fractional coordinates of all 18 atoms:
1 Y 0.0607 0.0475 0.2167  2 Ga 3.01-3.07, 1 Tl 3.03
2 Y 0.0607 0.4525 0.7167  2 Ga 3.01-3.07, 1 Tl 3.03
3 Y 0.1674 0.6962 0.0666  1 Tl 3.07, 3 Ga 3.18-3.33
4 Y 0.1674 0.8038 0.5666  1 Tl 3.07, 3 Ga 3.18-3.33
5 Y 0.4166 0.1495 0.0654  3 Ga 3.01-3.26, 1 Tl 3.10, 1 Y 3.31
6 Y 0.4166 0.3505 0.5654  3 Ga 3.01-3.26, 1 Tl 3.10, 1 Y 3.31
7 Y 0.5834 0.6495 0.4346  3 Ga 3.01-3.26, 1 Tl 3.10, 1 Y 3.31
8 Y 0.5834 0.8505 0.9346  3 Ga 3.01-3.26, 1 Tl 3.10, 1 Y 3.31
9 Y 0.8326 0.1962 0.4334  1 Tl 3.07, 3 Ga 3.18-3.33
10 Y 0.8326 0.3038 0.9334  1 Tl 3.07, 3 Ga 3.18-3.33
11 Y 0.9393 0.5475 0.2833  2 Ga 3.01-3.07, 1 Tl 3.03
12 Y 0.9393 0.9525 0.7833  2 Ga 3.01-3.07, 1 Tl 3.03
13 Tl 0.5000 0.0000 0.5000  6 Y 3.03-3.10
14 Tl 0.5000 0.5000 0.0000  6 Y 3.03-3.10
15 Ga 0.3080 0.1286 0.7436  8 Y 3.01-3.33
16 Ga 0.3080 0.3714 0.2436  8 Y 3.01-3.33
17 Ga 0.6920 0.6286 0.7564  8 Y 3.01-3.33
18 Ga 0.6920 0.8714 0.2564  8 Y 3.01-3.33